An optimized crystal structure of Cs2Na16Tl, computed with GGA-PBE.

a b c (Å): 9.389 9.389 9.389
angles (deg): 83.49 83.49 83.49
Fractional positions:
Cs1 0.000 0.000 0.000
Cs2 0.310 0.310 0.310
Na1 0.168 0.645 0.645
Na2 0.311 0.311 0.784
Na3 0.311 0.784 0.311
Na4 0.373 0.651 0.933
Na5 0.373 0.933 0.651
Na6 0.513 0.999 0.999
Na7 0.645 0.168 0.645
Na8 0.645 0.645 0.168
Na9 0.651 0.373 0.933
Na10 0.651 0.933 0.373
Na11 0.744 0.744 0.744
Na12 0.784 0.311 0.311
Na13 0.933 0.373 0.651
Na14 0.933 0.651 0.373
Na15 0.999 0.513 0.999
Na16 0.999 0.999 0.513
Tl1 0.560 0.560 0.560

VASP energy, eV/cell: -25.0
SG: R3m (160)
Formation enthalpy at 0 K, eV per atom: 0.007
Volume, Å³/cell: 813